[1]
## TbSmNiRu (GGA-PBE)

Data for a relaxed structure of TbSmNiRu.

## Properties
* final energy: -6.421 eV per atom
* ΔE_f: -319 meV/atom

abc: 4.043 5.684 5.684
angles: 41.27 90.00 90.00
Positions (direct):
Tb  0.000  0.000  0.000
Sm  0.500  0.714  0.714
Ni  0.000  0.290  0.290
Ru  0.500  0.428  0.428


[2]
## Rb4Ho3PaTe8 (GGA-PBE)

Data for a relaxed structure of Rb4Ho3PaTe8.

## Properties
* final energy: -4.507 eV per atom
* energy relative to the elements, uncorrected: -1.242 eV per atom

abc: 10.048 10.048 10.048
angles: 53.27 53.27 53.27
Positions (direct):
Rb  0.000  0.000  0.000
Rb  0.000  0.500  0.500
Rb  0.500  0.000  0.500
Rb  0.500  0.500  0.000
Ho  0.000  0.000  0.500
Ho  0.000  0.500  0.000
Ho  0.500  0.000  0.000
Pa  0.500  0.500  0.500
Te  0.231  0.735  0.735
Te  0.233  0.233  0.233
Te  0.265  0.265  0.769
Te  0.265  0.769  0.265
Te  0.735  0.231  0.735
Te  0.735  0.735  0.231
Te  0.767  0.767  0.767
Te  0.769  0.265  0.265


[3]
## ThTi2Tl (GGA-PBE)

Data for a relaxed structure of ThTi2Tl.

## Properties
* final energy: -6.294 eV per atom
* ΔE to the lowest computed polymorph: 0.0000 eV/atom
* ΔE_f: 100 meV/atom

abc: 4.753 4.753 3.851
angles: 90.00 90.00 90.00
Positions (direct):
Th  0.000  0.000  0.000
Ti  0.000  0.500  0.500
Ti  0.500  0.000  0.500
Tl  0.500  0.500  0.000


final energy of number 1 (TbSmNiRu)? -6.421 eV per atom


final energy of number 2 (Rb4Ho3PaTe8)? -4.507 eV per atom